Compound: Y3Be2Si4
Source: Alexandria
Functional: GGA-PBE
Structure: optimized geometry

Calculated values
- DFT total energy (eV per atom) = -6.1058

```
data_Y3Be2Si4
_space_group_name_H-M_alt 'C 1 2/m 1'
_space_group_IT_number 12
_cell_length_a 10.5721
_cell_length_b 3.8965
_cell_length_c 7.8560
_cell_angle_alpha 90.00
_cell_angle_beta 98.60
_cell_angle_gamma 90.00
loop_
_space_group_symop_operation_xyz
'x,y,z'
'-x,-y,-z'
'-x,y,-z'
'x,-y,z'
'x+1/2,y+1/2,z'
'-x+1/2,-y+1/2,-z'
'-x+1/2,y+1/2,-z'
'x+1/2,-y+1/2,z'
loop_
_atom_site_label
_atom_site_fract_x
_atom_site_fract_y
_atom_site_fract_z
_atom_site_occupancy
Y1 0.0000 0.0000 0.0000 1
Y2 0.1652 0.5000 0.6664 1
Be1 0.1092 0.5000 0.2813 1
Si1 0.0608 0.0000 0.3840 1
Si2 0.2154 0.5000 0.0639 1
```



Compound: YBeSi
Source: Alexandria
Functional: GGA-PBE
Structure: optimized geometry

Calculated values
- DFT total energy (eV per atom) = -4.7573

```
data_YBeSi
_space_group_name_H-M_alt 'F -4 3 m'
_space_group_IT_number 216
_space_group_name_Hall 'F -4 2 3'
_cell_length_a 6.4253
_cell_length_b 6.4253
_cell_length_c 6.4253
_cell_angle_alpha 90.00
_cell_angle_beta 90.00
_cell_angle_gamma 90.00
loop_
_atom_site_label
_atom_site_fract_x
_atom_site_fract_y
_atom_site_fract_z
_atom_site_occupancy
Y1 0.0000 0.0000 0.0000 1
Be1 0.2500 0.2500 0.7500 1
Si1 0.2500 0.2500 0.2500 1
```



Compound: YBeSi
Source: Alexandria
Functional: GGA-PBE
Structure: optimized geometry

Calculated values
- DFT total energy (eV per atom) = -5.4802

```
data_YBeSi
_space_group_name_H-M_alt 'F -4 3 m'
_space_group_IT_number 216
_space_group_name_Hall 'F -4 2 3'
_cell_length_a 5.9505
_cell_length_b 5.9505
_cell_length_c 5.9505
_cell_angle_alpha 90.00
_cell_angle_beta 90.00
_cell_angle_gamma 90.00
loop_
_atom_site_label
_atom_site_fract_x
_atom_site_fract_y
_atom_site_fract_z
_atom_site_occupancy
Y1 0.0000 0.0000 0.0000 1
Be1 0.2500 0.2500 0.2500 1
Si1 0.0000 0.0000 0.5000 1
```



Compound: YBeSi2
Source: Alexandria
Functional: GGA-PBE
Structure: optimized geometry

Calculated values
- DFT total energy (eV per atom) = -5.3878

```
data_YBeSi2
_space_group_name_H-M_alt 'I -4 2 d'
_space_group_IT_number 122
_space_group_name_Hall 'I -4 2bw'
_cell_length_a 4.6042
_cell_length_b 4.6042
_cell_length_c 14.7952
_cell_angle_alpha 90.00
_cell_angle_beta 90.00
_cell_angle_gamma 90.00
loop_
_atom_site_label
_atom_site_fract_x
_atom_site_fract_y
_atom_site_fract_z
_atom_site_occupancy
Y1 0.0000 0.0000 0.0000 1
Be1 0.0000 0.0000 0.5000 1
Si1 0.0948 0.2500 0.6250 1
```



Compound: Y2BeSi2
Source: Alexandria
Functional: GGA-PBE
Structure: optimized geometry

Calculated values
- DFT total energy (eV per atom) = -6.1759

```
data_Y2BeSi2
_space_group_name_H-M_alt 'C 1 2/m 1'
_space_group_IT_number 12
_cell_length_a 10.5409
_cell_length_b 3.9623
_cell_length_c 10.1973
_cell_angle_alpha 90.00
_cell_angle_beta 115.24
_cell_angle_gamma 90.00
loop_
_space_group_symop_operation_xyz
'x,y,z'
'-x,-y,-z'
'-x,y,-z'
'x,-y,z'
'x+1/2,y+1/2,z'
'-x+1/2,-y+1/2,-z'
'-x+1/2,y+1/2,-z'
'x+1/2,-y+1/2,z'
loop_
_atom_site_label
_atom_site_fract_x
_atom_site_fract_y
_atom_site_fract_z
_atom_site_occupancy
Y1 0.1057 0.0000 0.4028 1
Y2 0.2068 0.5000 0.1455 1
Be1 0.0607 0.5000 0.8126 1
Si1 0.0371 0.0000 0.9065 1
Si2 0.1169 0.5000 0.6206 1
```



Compound: YBeSi2
Source: Alexandria
Functional: GGA-PBE
Structure: optimized geometry

Calculated values
- DFT total energy (eV per atom) = -5.3815

```
data_YBeSi2
_space_group_name_H-M_alt 'P 4/m m m'
_space_group_IT_number 123
_space_group_name_Hall '-P 4 2'
_cell_length_a 4.0278
_cell_length_b 4.0278
_cell_length_c 4.0399
_cell_angle_alpha 90.00
_cell_angle_beta 90.00
_cell_angle_gamma 90.00
loop_
_atom_site_label
_atom_site_fract_x
_atom_site_fract_y
_atom_site_fract_z
_atom_site_occupancy
Y1 0.0000 0.0000 0.0000 1
Be1 0.5000 0.5000 0.0000 1
Si1 0.0000 0.5000 0.5000 1
```



Compound: YBeSi2
Source: Alexandria
Functional: GGA-PBE
Structure: optimized geometry

Calculated values
- DFT total energy (eV per atom) = -4.9869

```
data_YBeSi2
_space_group_name_H-M_alt 'F -4 3 m'
_space_group_IT_number 216
_space_group_name_Hall 'F -4 2 3'
_cell_length_a 6.5159
_cell_length_b 6.5159
_cell_length_c 6.5159
_cell_angle_alpha 90.00
_cell_angle_beta 90.00
_cell_angle_gamma 90.00
loop_
_atom_site_label
_atom_site_fract_x
_atom_site_fract_y
_atom_site_fract_z
_atom_site_occupancy
Y1 0.0000 0.0000 0.0000 1
Be1 0.2500 0.2500 0.7500 1
Si1 0.0000 0.0000 0.5000 1
Si2 0.2500 0.2500 0.2500 1
```



Compound: YBe3Si
Source: Alexandria
Functional: GGA-PBE
Structure: optimized geometry

Calculated values
- DFT total energy (eV per atom) = -2.4764

```
data_YBe3Si
_space_group_name_H-M_alt 'P m -3 m'
_space_group_IT_number 221
_space_group_name_Hall '-P 4 2 3'
_cell_length_a 4.9247
_cell_length_b 4.9247
_cell_length_c 4.9247
_cell_angle_alpha 90.00
_cell_angle_beta 90.00
_cell_angle_gamma 90.00
loop_
_atom_site_label
_atom_site_fract_x
_atom_site_fract_y
_atom_site_fract_z
_atom_site_occupancy
Y1 0.0000 0.0000 0.0000 1
Be1 0.0000 0.0000 0.5000 1
Si1 0.5000 0.5000 0.5000 1
```



Compound: YBe4Si
Source: Alexandria
Functional: GGA-PBE
Structure: optimized geometry

Calculated values
- DFT total energy (eV per atom) = -4.1924

```
data_YBe4Si
_space_group_name_H-M_alt 'F -4 3 m'
_space_group_IT_number 216
_space_group_name_Hall 'F -4 2 3'
_cell_length_a 6.7735
_cell_length_b 6.7735
_cell_length_c 6.7735
_cell_angle_alpha 90.00
_cell_angle_beta 90.00
_cell_angle_gamma 90.00
loop_
_atom_site_label
_atom_site_fract_x
_atom_site_fract_y
_atom_site_fract_z
_atom_site_occupancy
Y1 0.0000 0.0000 0.0000 1
Be1 0.1272 0.1272 0.6272 1
Si1 0.2500 0.2500 0.2500 1
```



Compound: Y2BeSi3
Source: Alexandria
Functional: GGA-PBE
Structure: optimized geometry

Calculated values
- DFT total energy (eV per atom) = -6.1562

```
data_Y2BeSi3
_space_group_name_H-M_alt 'P m m 2'
_space_group_IT_number 25
_cell_length_a 3.9470
_cell_length_b 4.0545
_cell_length_c 6.7634
_cell_angle_alpha 90.00
_cell_angle_beta 90.00
_cell_angle_gamma 90.00
loop_
_space_group_symop_operation_xyz
'x,y,z'
'-x,-y,z'
'-x,y,z'
'x,-y,z'
loop_
_atom_site_label
_atom_site_fract_x
_atom_site_fract_y
_atom_site_fract_z
_atom_site_occupancy
Y1 0.0000 0.0000 0.0000 1
Y2 0.5000 0.0000 0.5004 1
Be1 0.0000 0.5000 0.6731 1
Si1 0.0000 0.5000 0.3494 1
Si2 0.5000 0.5000 0.1647 1
Si3 0.5000 0.5000 0.8192 1
```



Compound: YBe3Si
Source: Alexandria
Functional: GGA-PBE
Structure: optimized geometry

Calculated values
- DFT total energy (eV per atom) = -4.1994

```
data_YBe3Si
_space_group_name_H-M_alt 'P m -3 m'
_space_group_IT_number 221
_space_group_name_Hall '-P 4 2 3'
_cell_length_a 4.2243
_cell_length_b 4.2243
_cell_length_c 4.2243
_cell_angle_alpha 90.00
_cell_angle_beta 90.00
_cell_angle_gamma 90.00
loop_
_atom_site_label
_atom_site_fract_x
_atom_site_fract_y
_atom_site_fract_z
_atom_site_occupancy
Y1 0.0000 0.0000 0.0000 1
Be1 0.0000 0.5000 0.5000 1
Si1 0.5000 0.5000 0.5000 1
```



Compound: YBeSi2
Source: Alexandria
Functional: GGA-PBE
Structure: optimized geometry

Calculated values
- DFT total energy (eV per atom) = -5.4549

```
data_YBeSi2
_space_group_name_H-M_alt 'P m m m'
_space_group_IT_number 47
_cell_length_a 3.8223
_cell_length_b 3.8861
_cell_length_c 4.9295
_cell_angle_alpha 90.00
_cell_angle_beta 90.00
_cell_angle_gamma 90.00
loop_
_space_group_symop_operation_xyz
'x,y,z'
'-x,-y,-z'
'-x,-y,z'
'x,y,-z'
'x,-y,-z'
'-x,y,z'
'-x,y,-z'
'x,-y,z'
loop_
_atom_site_label
_atom_site_fract_x
_atom_site_fract_y
_atom_site_fract_z
_atom_site_occupancy
Y1 0.0000 0.0000 0.0000 1
Be1 0.0000 0.5000 0.5000 1
Si1 0.5000 0.5000 0.2465 1
```